Record 1
Compound: K2LiIrF6
Source: the Open Quantum Materials Database
Functional: PBE
Structure: relaxed

Calculated values
- energy relative to the lowest polymorph listed for this composition (meV per atom) = 0.0
- magnetization (Bohr magnetons per cell) = 0.001

```
data_K2LiIrF6
_chemical_formula_sum 'K6 Li3 Ir3 F18'
_cell_length_a 5.6274
_cell_length_b 5.6274
_cell_length_c 13.8457
_cell_angle_alpha 90.00
_cell_angle_beta 90.00
_cell_angle_gamma 120.00
_symmetry_space_group_name_H-M 'R -3'
_symmetry_Int_Tables_number 148
_symmetry_space_group_name_Hall '-R 3'
loop_
_atom_site_label
_atom_site_type_symbol
_atom_site_fract_x
_atom_site_fract_y
_atom_site_fract_z
K1 K 0.0000 0.0000 0.2501
Li1 Li 0.0000 0.0000 0.0000
Ir1 Ir 0.0000 0.0000 0.5000
F1 F 0.0035 0.5027 0.7488
```

Record 2
Compound: K2LiIrF6
Source: the Open Quantum Materials Database
Functional: PBE
Structure: relaxed

Calculated values
- energy relative to the lowest polymorph listed for this composition (meV per atom) = 5.2
- magnetization (Bohr magnetons per cell) = 0.001

```
data_K2LiIrF6
_chemical_formula_sum 'K4 Li2 Ir2 F12'
_cell_length_a 5.593
_cell_length_b 5.593
_cell_length_c 8.026
_cell_angle_alpha 90.00
_cell_angle_beta 90.00
_cell_angle_gamma 90.00
_symmetry_space_group_name_H-M 'I 4/m'
_symmetry_Int_Tables_number 87
_symmetry_space_group_name_Hall '-I 4'
loop_
_atom_site_label
_atom_site_type_symbol
_atom_site_fract_x
_atom_site_fract_y
_atom_site_fract_z
K1 K 0.000 0.500 0.250
Li1 Li 0.000 0.000 0.000
Ir1 Ir 0.000 0.000 0.500
F1 F 0.000 0.000 0.248
F2 F 0.229 0.263 0.000
```